Record 1
# PBE-GGA La3AuN, optimized geometry
data_La3AuN
_chemical_formula_sum 'La6 Au2 N2'
_space_group_name_H-M_alt 'P 1'
_space_group_IT_number 1
_space_group_name_Hall 'P 1'
_cell_length_a 5.194
_cell_length_b 5.194
_cell_length_c 10.270
_cell_angle_alpha 90.00
_cell_angle_beta 90.00
_cell_angle_gamma 120.00
loop_
_atom_site_label
_atom_site_fract_x
_atom_site_fract_y
_atom_site_fract_z
La1 0.000 0.000 0.250
La2 0.000 0.000 0.750
La3 0.333 0.667 0.051
La4 0.333 0.667 0.449
La5 0.667 0.333 0.551
La6 0.667 0.333 0.949
Au1 0.333 0.667 0.750
Au2 0.667 0.333 0.250
N1 0.000 0.000 0.000
N2 0.000 0.000 0.500
# density of states at the Fermi level = 12.11 states/eV per cell
# magnetic moment = 0.000 Bohr magnetons per cell
# offset from the most stable computed form = 441 meV/atom
# energy relative to the elements, uncorrected = -0.470 eV/atom
# SG = No. 194

Record 2
# PBE-GGA La3Au2N, optimized geometry
data_La3Au2N
_chemical_formula_sum 'La6 Au4 N2'
_space_group_name_H-M_alt 'P 1'
_space_group_IT_number 1
_space_group_name_Hall 'P 1'
_cell_length_a 11.037
_cell_length_b 11.037
_cell_length_c 7.404
_cell_angle_alpha 90.00
_cell_angle_beta 90.00
_cell_angle_gamma 159.38
loop_
_atom_site_label
_atom_site_fract_x
_atom_site_fract_y
_atom_site_fract_z
La1 0.090 0.910 0.504
La2 0.090 0.910 0.996
La3 0.281 0.719 0.250
La4 0.719 0.281 0.750
La5 0.910 0.090 0.004
La6 0.910 0.090 0.496
Au1 0.337 0.663 0.750
Au2 0.497 0.503 0.750
Au3 0.503 0.497 0.250
Au4 0.663 0.337 0.250
N1 0.156 0.844 0.750
N2 0.844 0.156 0.250
# density of states at the Fermi level = 8.07 states/eV per cell
# magnetic moment = 0.000 Bohr magnetons per cell
# offset from the most stable computed form = 0 meV/atom
# energy relative to the elements, uncorrected = -0.989 eV/atom
# SG = No. 63

Record 3
# PBE-GGA La3AuN, optimized geometry
data_La3AuN
_chemical_formula_sum 'La12 Au4 N4'
_space_group_name_H-M_alt 'P 1'
_space_group_IT_number 1
_space_group_name_Hall 'P 1'
_cell_length_a 9.360
_cell_length_b 9.360
_cell_length_c 9.360
_cell_angle_alpha 60.00
_cell_angle_beta 60.00
_cell_angle_gamma 60.00
loop_
_atom_site_label
_atom_site_fract_x
_atom_site_fract_y
_atom_site_fract_z
La1 0.075 0.075 0.675
La2 0.075 0.675 0.075
La3 0.075 0.675 0.675
La4 0.325 0.325 0.925
La5 0.325 0.925 0.325
La6 0.325 0.925 0.925
La7 0.675 0.075 0.075
La8 0.675 0.075 0.675
La9 0.675 0.675 0.075
La10 0.925 0.325 0.325
La11 0.925 0.325 0.925
La12 0.925 0.925 0.325
Au1 0.000 0.500 0.500
Au2 0.500 0.000 0.500
Au3 0.500 0.500 0.000
Au4 0.500 0.500 0.500
N1 0.000 0.000 0.000
N2 0.000 0.000 0.500
N3 0.000 0.500 0.000
N4 0.500 0.000 0.000
# density of states at the Fermi level = 22.53 states/eV per cell
# magnetic moment = 0.680 Bohr magnetons per cell
# offset from the most stable computed form = 427 meV/atom
# energy relative to the elements, uncorrected = -0.484 eV/atom
# SG = No. 227

Record 4
# PBE-GGA LaNbAuN2, optimized geometry
data_LaNbAuN2
_chemical_formula_sum 'La1 Nb1 Au1 N2'
_space_group_name_H-M_alt 'P 1'
_space_group_IT_number 1
_space_group_name_Hall 'P 1'
_cell_length_a 4.194
_cell_length_b 4.194
_cell_length_c 5.818
_cell_angle_alpha 90.00
_cell_angle_beta 90.00
_cell_angle_gamma 90.00
loop_
_atom_site_label
_atom_site_fract_x
_atom_site_fract_y
_atom_site_fract_z
La1 0.000 0.000 0.000
Nb1 0.500 0.500 0.500
Au1 0.000 0.000 0.500
N1 0.000 0.500 0.000
N2 0.500 0.000 0.000
# density of states at the Fermi level = 6.76 states/eV per cell
# magnetic moment = 0.061 Bohr magnetons per cell
# energy relative to the elements, uncorrected = 1.329 eV/atom
# SG = No. 123

Record 5
# PBE-GGA La2NbAuN, optimized geometry
data_La2NbAuN
_chemical_formula_sum 'La2 Nb1 Au1 N1'
_space_group_name_H-M_alt 'P 1'
_space_group_IT_number 1
_space_group_name_Hall 'P 1'
_cell_length_a 5.247
_cell_length_b 5.247
_cell_length_c 4.141
_cell_angle_alpha 90.00
_cell_angle_beta 90.00
_cell_angle_gamma 90.00
loop_
_atom_site_label
_atom_site_fract_x
_atom_site_fract_y
_atom_site_fract_z
La1 0.000 0.500 0.000
La2 0.500 0.000 0.000
Nb1 0.000 0.000 0.500
Au1 0.500 0.500 0.500
N1 0.000 0.000 0.000
# density of states at the Fermi level = 4.21 states/eV per cell
# magnetic moment = 1.035 Bohr magnetons per cell
# energy relative to the elements, uncorrected = -0.693 eV/atom
# SG = No. 123

Record 6
# PBE-GGA La2NdAuN, optimized geometry
data_La2NdAuN
_chemical_formula_sum 'La2 Nd1 Au1 N1'
_space_group_name_H-M_alt 'P 1'
_space_group_IT_number 1
_space_group_name_Hall 'P 1'
_cell_length_a 5.051
_cell_length_b 5.051
_cell_length_c 4.985
_cell_angle_alpha 90.00
_cell_angle_beta 90.00
_cell_angle_gamma 90.00
loop_
_atom_site_label
_atom_site_fract_x
_atom_site_fract_y
_atom_site_fract_z
La1 0.000 0.500 0.000
La2 0.500 0.000 0.000
Nd1 0.000 0.000 0.500
Au1 0.500 0.500 0.500
N1 0.000 0.000 0.000
# density of states at the Fermi level = 5.58 states/eV per cell
# magnetic moment = 0.000 Bohr magnetons per cell
# energy relative to the elements, uncorrected = -0.796 eV/atom
# SG = No. 123

Record 7
# PBE-GGA LaNiAu2N, optimized geometry
data_LaNiAu2N
_chemical_formula_sum 'La1 Ni1 Au2 N1'
_space_group_name_H-M_alt 'P 1'
_space_group_IT_number 1
_space_group_name_Hall 'P 1'
_cell_length_a 5.792
_cell_length_b 5.792
_cell_length_c 4.061
_cell_angle_alpha 90.00
_cell_angle_beta 90.00
_cell_angle_gamma 90.00
loop_
_atom_site_label
_atom_site_fract_x
_atom_site_fract_y
_atom_site_fract_z
La1 0.000 0.000 0.000
Ni1 0.500 0.500 0.500
Au1 0.000 0.500 0.000
Au2 0.500 0.000 0.000
N1 0.000 0.000 0.500
# density of states at the Fermi level = 8.72 states/eV per cell
# magnetic moment = 1.103 Bohr magnetons per cell
# energy relative to the elements, uncorrected = 0.993 eV/atom
# SG = No. 123

Record 8
# PBE-GGA La2NiAuN, optimized geometry
data_La2NiAuN
_chemical_formula_sum 'La2 Ni1 Au1 N1'
_space_group_name_H-M_alt 'P 1'
_space_group_IT_number 1
_space_group_name_Hall 'P 1'
_cell_length_a 5.236
_cell_length_b 5.236
_cell_length_c 3.751
_cell_angle_alpha 90.00
_cell_angle_beta 90.00
_cell_angle_gamma 90.00
loop_
_atom_site_label
_atom_site_fract_x
_atom_site_fract_y
_atom_site_fract_z
La1 0.000 0.500 0.000
La2 0.500 0.000 0.000
Ni1 0.000 0.000 0.500
Au1 0.500 0.500 0.500
N1 0.000 0.000 0.000
# density of states at the Fermi level = 4.81 states/eV per cell
# magnetic moment = 0.001 Bohr magnetons per cell
# offset from the most stable computed form = 0 meV/atom
# energy relative to the elements, uncorrected = -0.816 eV/atom
# SG = No. 123

Record 9
# PBE-GGA LaNi2Au2N, optimized geometry
data_LaNi2Au2N
_chemical_formula_sum 'La1 Ni2 Au2 N1'
_space_group_name_H-M_alt 'P 1'
_space_group_IT_number 1
_space_group_name_Hall 'P 1'
_cell_length_a 7.457
_cell_length_b 7.457
_cell_length_c 7.457
_cell_angle_alpha 149.55
_cell_angle_beta 149.55
_cell_angle_gamma 43.60
loop_
_atom_site_label
_atom_site_fract_x
_atom_site_fract_y
_atom_site_fract_z
La1 0.000 0.000 0.000
Ni1 0.374 0.374 0.000
Ni2 0.626 0.626 0.000
Au1 0.250 0.750 0.500
Au2 0.750 0.250 0.500
N1 0.500 0.500 0.000
# density of states at the Fermi level = 4.54 states/eV per cell
# magnetic moment = 1.243 Bohr magnetons per cell
# energy relative to the elements, uncorrected = -0.348 eV/atom
# SG = No. 139

Record 10
# PBE-GGA La6NiAu2N, optimized geometry
data_La6NiAu2N
_chemical_formula_sum 'La12 Ni2 Au4 N2'
_space_group_name_H-M_alt 'P 1'
_space_group_IT_number 1
_space_group_name_Hall 'P 1'
_cell_length_a 6.864
_cell_length_b 7.628
_cell_length_c 12.515
_cell_angle_alpha 90.00
_cell_angle_beta 122.27
_cell_angle_gamma 90.00
loop_
_atom_site_label
_atom_site_fract_x
_atom_site_fract_y
_atom_site_fract_z
La1 0.113 0.209 0.444
La2 0.113 0.291 0.944
La3 0.253 0.676 0.442
La4 0.253 0.824 0.942
La5 0.359 0.030 0.234
La6 0.359 0.470 0.734
La7 0.641 0.530 0.266
La8 0.641 0.970 0.766
La9 0.747 0.176 0.058
La10 0.747 0.324 0.558
La11 0.887 0.709 0.056
La12 0.887 0.791 0.556
Ni1 0.500 0.000 0.500
Ni2 0.500 0.500 0.000
Au1 0.182 0.095 0.739
Au2 0.182 0.405 0.239
Au3 0.818 0.595 0.761
Au4 0.818 0.905 0.261
N1 0.000 0.000 0.000
N2 0.000 0.500 0.500
# density of states at the Fermi level = 19.82 states/eV per cell
# magnetic moment = 0.000 Bohr magnetons per cell
# energy relative to the elements, uncorrected = -0.653 eV/atom
# SG = No. 14

Record 11
# PBE-GGA La2NiAuN, optimized geometry
data_La2NiAuN
_chemical_formula_sum 'La4 Ni2 Au2 N2'
_space_group_name_H-M_alt 'P 1'
_space_group_IT_number 1
_space_group_name_Hall 'P 1'
_cell_length_a 6.830
_cell_length_b 3.956
_cell_length_c 8.384
_cell_angle_alpha 90.00
_cell_angle_beta 109.98
_cell_angle_gamma 90.00
loop_
_atom_site_label
_atom_site_fract_x
_atom_site_fract_y
_atom_site_fract_z
La1 0.204 0.250 0.383
La2 0.214 0.250 0.968
La3 0.786 0.750 0.032
La4 0.796 0.750 0.617
Ni1 0.449 0.750 0.246
Ni2 0.551 0.250 0.754
Au1 0.300 0.750 0.697
Au2 0.700 0.250 0.303
N1 0.155 0.750 0.170
N2 0.845 0.250 0.830
# density of states at the Fermi level = 8.91 states/eV per cell
# magnetic moment = 0.000 Bohr magnetons per cell
# offset from the most stable computed form = 3 meV/atom
# energy relative to the elements, uncorrected = -0.813 eV/atom
# SG = No. 11

Theoretical density (computed, g cm⁻³): 8.7; 8.6; 7.2; 7.4; 8.5; 8.3; 7.4; 8.8; 10.4; 7.8; 8.5